Entry 1:
DFT (PBE-GGA) results for an optimized crystal structure of K2TlInS4.

Properties
The density of states at the Fermi level is 0.00 states/eV per atom. The space group is I-4. The value obtained for the magnetization is 0.0 μB/f.u. The total energy is -0.13751 Ha/atom.

Cell: 7.289 7.289 6.926 Å, 121.75 121.75 90.01°
Fractional positions:
K 0.486 0.986 0.972
K 0.236 0.236 0.472
Tl 0.736 0.736 0.472
In 0.986 0.486 0.972
S 0.682 0.608 0.727
S 0.864 0.428 0.217
S 0.353 0.790 0.217
S 0.044 0.119 0.727

***

Entry 2:
DFT (PBE-GGA) results for an optimized crystal structure of SrRe4Rh.

Properties
The density of states at the Fermi level is 1.55 states/eV per atom. The space group is F-43m. As for the formation energy: 636 meV/atom. The value obtained for the magnetization is 0.0 μB/f.u.

Cell: 5.334 5.334 5.334 Å, 60.00 60.00 60.00°
Fractional positions:
Sr 0.000 0.000 0.000
Re 0.874 0.375 0.375
Re 0.375 0.375 0.874
Re 0.375 0.874 0.375
Re 0.375 0.375 0.375
Rh 0.750 0.750 0.750

***

Entry 3:
DFT (PBE-GGA) results for an optimized crystal structure of NaMn2GePd.

Properties
The density of states at the Fermi level is 0.47 states/eV per atom. The space group is P4/mmm. As for the formation energy: 481 meV/atom. The value obtained for the magnetization is 9.1 μB/f.u.

Cell: 5.161 4.830 5.161 Å, 90.00 90.00 90.00°
Fractional positions:
Na 0.500 0.500 0.500
Ge 0.000 0.500 0.000
Mn 0.000 0.000 0.500
Mn 0.500 0.000 0.000
Pd 0.000 0.000 0.000

***

Entry 4:
DFT (PBE-GGA) results for an optimized crystal structure of LiSc3V.

Properties
The density of states at the Fermi level is 1.64 states/eV per atom. The space group is Pm-3m. As for the formation energy: 873 meV/atom. The value obtained for the magnetization is 1.1 μB/f.u.

Cell: 4.853 4.853 4.853 Å, 90.00 90.00 90.00°
Fractional positions:
Sc 0.000 0.500 0.000
Sc 0.000 0.000 0.500
Sc 0.500 0.000 0.000
V 0.500 0.500 0.500
Li 0.000 0.000 0.000

***

Copy entry 4 word for word.
DFT (PBE-GGA) results for an optimized crystal structure of LiSc3V.

Properties
The density of states at the Fermi level is 1.64 states/eV per atom. The space group is Pm-3m. As for the formation energy: 873 meV/atom. The value obtained for the magnetization is 1.1 μB/f.u.

Cell: 4.853 4.853 4.853 Å, 90.00 90.00 90.00°
Fractional positions:
Sc 0.000 0.500 0.000
Sc 0.000 0.000 0.500
Sc 0.500 0.000 0.000
V 0.500 0.500 0.500
Li 0.000 0.000 0.000

***

- Number 3 is which compound?
  NaMn2GePd